A geometry-optimized BaSrTeI2 structure. Source: the Alexandria database, functional PBE.

Lattice parameters (Å, degrees): 6.151 6.151 6.406 90.00 90.00 90.00
Fractional coordinates of all 5 atoms:
I1 0.000 0.500 0.000
Sr1 0.000 0.000 0.000
Te1 0.000 0.000 0.500
Ba1 0.500 0.500 0.500
I2 0.500 0.000 0.000

formation energy (no corrections): -1.371 eV/atom
energy relative to the lowest polymorph listed for this composition: 0 meV per atom
calculated density: 4.2 g/cm³



A geometry-optimized BaSrTl2I6 structure. Source: the Alexandria database, functional PBE.

Lattice parameters (Å, degrees): 8.764 8.764 9.221 61.61 61.62 59.98
Fractional coordinates of all 10 atoms:
Tl1 0.017 0.017 0.950
I1 0.428 0.698 0.761
Tl2 0.520 0.519 0.442
I2 0.206 0.947 0.253
I3 0.594 0.206 0.253
Sr1 0.321 0.321 0.037
I4 0.699 0.113 0.761
Ba1 0.819 0.819 0.544
I5 0.113 0.428 0.761
I6 0.947 0.594 0.253

formation energy (no corrections): -1.295 eV/atom
Fermi-level density of states: 0.00 states/eV/atom
calculated density: 4.5 g/cm³



A geometry-optimized BaSrTlI structure. Source: the Alexandria database, functional PBE.

Lattice parameters (Å, degrees): 6.087 6.087 6.087 60.00 60.00 60.00
Last column: magnetic moment on the atom in μB.
Fractional coordinates of all 4 atoms:
Sr1 0.250 0.250 0.250  0.06
Tl1 0.000 0.000 0.000  0.18
Ba1 0.750 0.750 0.750  0.08
I1 0.500 0.500 0.500  0.05

formation energy (no corrections): -0.633 eV/atom
Fermi-level density of states: 1.40 states/eV/atom
calculated density: 5.8 g/cm³



A geometry-optimized BaSr2YI structure. Source: the Alexandria database, functional PBE.

Lattice parameters (Å, degrees): 6.793 5.882 6.793 90.00 90.00 90.00
Last column: magnetic moment on the atom in μB.
Fractional coordinates of all 5 atoms:
I1 0.500 0.500 0.500  0.03
Ba1 0.000 0.000 0.000  0.39
Sr1 0.500 0.000 0.000  0.10
Y1 0.000 0.500 0.000  0.23
Sr2 0.000 0.000 0.500  0.14

formation energy (no corrections): 0.706 eV/atom
Fermi-level density of states: 1.45 states/eV/atom
calculated density: 3.2 g/cm³



A geometry-optimized Ba4Ta2I structure. Source: the Alexandria database, functional PBE.

Lattice parameters (Å, degrees): 6.755 6.755 9.354 68.83 68.83 90.00
Fractional coordinates of all 7 atoms:
Ba1 0.500 0.000 0.000
Ba2 0.783 0.783 0.434
Ta1 0.571 0.571 0.859
I1 0.000 0.000 0.000
Ba3 0.217 0.217 0.566
Ta2 0.429 0.429 0.141
Ba4 0.000 0.500 0.000

formation energy (no corrections): 0.558 eV/atom
Fermi-level density of states: 1.22 states/eV/atom
calculated density: 4.7 g/cm³



A geometry-optimized BaTa2I structure. Source: the Alexandria database, functional PBE.

Lattice parameters (Å, degrees): 5.085 5.085 5.085 60.00 60.00 60.00
Fractional coordinates of all 4 atoms:
I1 0.000 0.000 0.000
Ta1 0.750 0.750 0.750
Ta2 0.250 0.250 0.250
Ba1 0.500 0.500 0.500

formation energy (no corrections): 1.546 eV/atom
Fermi-level density of states: 1.65 states/eV/atom
energy relative to the lowest polymorph listed for this composition: 515 meV per atom
calculated density: 11.2 g/cm³



A geometry-optimized Ba3TaI structure. Source: the Alexandria database, functional PBE.

Lattice parameters (Å, degrees): 6.167 6.167 6.167 90.00 90.00 90.00
Fractional coordinates of all 5 atoms:
Ba1 0.500 0.000 0.000
I1 0.500 0.500 0.500
Ba2 0.000 0.500 0.000
Ta1 0.000 0.000 0.000
Ba3 0.000 0.000 0.500

formation energy (no corrections): 0.403 eV/atom
Fermi-level density of states: 1.32 states/eV/atom
energy relative to the lowest polymorph listed for this composition: 0 meV per atom
calculated density: 5.1 g/cm³



A geometry-optimized BaTaI3 structure. Source: the Alexandria database, functional PBE.

Lattice parameters (Å, degrees): 5.723 5.723 5.723 90.00 90.00 90.00
Last column: magnetic moment on the atom in μB.
Fractional coordinates of all 5 atoms:
I1 0.000 0.500 0.000  0.01
I2 0.500 0.000 0.000  0.03
Ba1 0.500 0.500 0.500  0.06
I3 0.000 0.000 0.500  0.04
Ta1 0.000 0.000 0.000  1.85

formation energy (no corrections): -0.207 eV/atom
Fermi-level density of states: 0.61 states/eV/atom
energy relative to the lowest polymorph listed for this composition: 0 meV per atom
calculated density: 6.2 g/cm³



A geometry-optimized BaTaI3 structure. Source: the Alexandria database, functional PBE.

Lattice parameters (Å, degrees): 6.670 6.670 6.670 90.00 90.00 90.00
Last column: magnetic moment on the atom in μB.
Fractional coordinates of all 5 atoms:
Ta1 0.500 0.500 0.500  2.52
I1 0.000 0.000 0.500  0.00
I2 0.500 0.000 0.000  0.00
I3 0.000 0.500 0.000  -0.01
Ba1 0.000 0.000 0.000  0.00

formation energy (no corrections): 0.471 eV/atom
Fermi-level density of states: 8.74 states/eV/atom
energy relative to the lowest polymorph listed for this composition: 679 meV per atom
calculated density: 3.9 g/cm³



A geometry-optimized BaTaI2 structure. Source: the Alexandria database, functional PBE.

Lattice parameters (Å, degrees): 5.955 5.955 10.148 72.94 72.94 90.00
Last column: magnetic moment on the atom in μB.
Fractional coordinates of all 8 atoms:
I1 0.704 0.125 0.250  0.02
I2 0.375 0.296 0.750  0.02
Ta1 0.750 0.250 0.500  1.78
Ta2 0.000 0.000 0.000  1.78
I3 0.046 0.625 0.250  0.02
Ba1 0.250 0.750 0.500  0.09
I4 0.875 0.954 0.750  0.02
Ba2 0.500 0.500 0.000  0.09

formation energy (no corrections): 0.281 eV/atom
Fermi-level density of states: 0.99 states/eV/atom
energy relative to the lowest polymorph listed for this composition: 0 meV per atom
calculated density: 5.8 g/cm³



A geometry-optimized BaTa2I structure. Source: the Alexandria database, functional PBE.

Lattice parameters (Å, degrees): 4.860 4.860 11.173 77.44 77.44 90.00
Fractional coordinates of all 8 atoms:
Ba1 0.000 0.000 0.000
Ta1 0.875 0.544 0.750
Ta2 0.375 0.706 0.750
I1 0.250 0.750 0.500
Ba2 0.750 0.250 0.500
I2 0.500 0.500 0.000
Ta3 0.456 0.625 0.250
Ta4 0.294 0.125 0.250

formation energy (no corrections): 1.031 eV/atom
Fermi-level density of states: 0.95 states/eV/atom
energy relative to the lowest polymorph listed for this composition: 0 meV per atom
calculated density: 8.3 g/cm³



A geometry-optimized BaTaI2 structure. Source: the Alexandria database, functional PBE.

Lattice parameters (Å, degrees): 5.572 5.572 5.572 60.00 60.00 60.00
Last column: magnetic moment on the atom in μB.
Fractional coordinates of all 4 atoms:
I1 0.750 0.750 0.750  0.00
Ta1 0.500 0.500 0.500  0.51
Ba1 0.000 0.000 0.000  0.00
I2 0.250 0.250 0.250  0.00

formation energy (no corrections): 0.369 eV/atom
Fermi-level density of states: 1.40 states/eV/atom
energy relative to the lowest polymorph listed for this composition: 88 meV per atom
calculated density: 7.8 g/cm³



- Which value of calculated density does entry 12 give?
  7.8 g/cm³